VASP calculation (PBE with a Hubbard U) on crystalline MoAsI2O at its relaxed geometry.

a = 5.879 Å, b = 5.879 Å, c = 3.860 Å
α = 90.00°, β = 90.00°, γ = 90.00°
Sites, in units of the cell vectors:
Mo 0.000 0.000 0.000
As 0.500 0.500 0.500
I 0.000 0.500 0.000
I 0.500 0.000 0.000
O 0.000 0.000 0.500

E above lowest polymorph	0.000	eV/atom
space-group type	P4/mmm, No. 123